No. 1
## Ho6TmIn2 (PBE)

Data for a geometry-optimized Ho6TmIn2 structure.

- Energy relative to the elements: -0.204 eV/atom
- Relative energy among the computed polymorphs: 0 meV/atom
- Total magnetic moment: 0.000 μB per atom

a b c (Å): 3.710 6.578 11.709
angles (deg): 74.84 80.88 73.62
Positions (direct):
1 Ho 0.682 0.513 0.123
2 Ho 0.318 0.487 0.877
3 Ho 0.311 0.793 0.585
4 Ho 0.984 0.690 0.342
5 Ho 0.016 0.310 0.658
6 Ho 0.689 0.207 0.415
7 Tm 0.000 0.000 0.000
8 In 0.357 0.083 0.203
9 In 0.643 0.917 0.797



No. 2
## Ho7TmIn2 (PBE)

Data for a geometry-optimized Ho7TmIn2 structure.

- Energy relative to the elements: 0.356 eV/atom
- Total magnetic moment: 0.000 μB per atom

a b c (Å): 5.316 8.967 8.967
angles (deg): 119.14 90.00 90.00
Positions (direct):
1 Ho 0.000 0.776 0.224
2 Ho 0.000 0.224 0.776
3 Ho 0.500 0.061 0.301
4 Ho 0.500 0.939 0.699
5 Ho 0.500 0.301 0.061
6 Ho 0.500 0.699 0.939
7 Ho 0.500 0.500 0.500
8 Tm 0.000 0.000 0.000
9 In 0.500 0.696 0.304
10 In 0.500 0.304 0.696



No. 3
## Ho3TmIn3 (PBE)

Data for a geometry-optimized Ho3TmIn3 structure.

- Energy relative to the elements: -0.312 eV/atom
- Relative energy among the computed polymorphs: 0 meV/atom
- Total magnetic moment: 0.000 μB per atom

a b c (Å): 5.157 9.256 9.256
angles (deg): 120.00 90.00 90.00
Positions (direct):
1 Ho 0.250 0.771 0.766
2 Ho 0.250 0.234 0.005
3 Ho 0.250 0.995 0.229
4 Ho 0.750 0.229 0.234
5 Ho 0.750 0.766 0.995
6 Ho 0.750 0.005 0.771
7 Tm 0.250 0.667 0.333
8 Tm 0.750 0.333 0.667
9 In 0.750 0.617 0.544
10 In 0.750 0.456 0.073
11 In 0.750 0.927 0.383
12 In 0.250 0.383 0.456
13 In 0.250 0.544 0.927
14 In 0.250 0.073 0.617



No. 4
## Ho3TmIn (PBE)

Data for a geometry-optimized Ho3TmIn structure.

- Energy relative to the elements: 0.304 eV/atom
- Relative energy among the computed polymorphs: 489 meV/atom
- Total magnetic moment: 0.000 μB per atom

a b c (Å): 5.854 8.747 6.770
angles (deg): 90.00 115.62 90.00
Positions (direct):
1 Ho 0.176 0.932 0.353
2 Ho 0.824 0.068 0.647
3 Ho 0.824 0.432 0.647
4 Ho 0.176 0.568 0.353
5 Ho 0.062 0.250 0.123
6 Ho 0.938 0.750 0.877
7 Tm 0.573 0.250 0.146
8 Tm 0.427 0.750 0.854
9 In 0.321 0.250 0.643
10 In 0.679 0.750 0.357



No. 5
## HoTm3In (PBE)

Data for a geometry-optimized HoTm3In structure.

- Energy relative to the elements: -0.167 eV/atom
- Relative energy among the computed polymorphs: 10 meV/atom
- Total magnetic moment: 0.046 μB per atom

a b c (Å): 3.549 8.811 10.495
angles (deg): 107.30 80.28 113.75
Positions (direct):
1 Ho 0.296 0.614 0.636
2 Ho 0.704 0.386 0.364
3 Tm 0.897 0.185 0.577
4 Tm 0.724 0.235 0.023
5 Tm 0.912 0.027 0.231
6 Tm 0.103 0.815 0.423
7 Tm 0.088 0.973 0.769
8 Tm 0.276 0.765 0.977
9 In 0.500 0.415 0.829
10 In 0.500 0.585 0.171



No. 6
## Ho2TmIn (PBE)

Data for a geometry-optimized Ho2TmIn structure.

- Energy relative to the elements: -0.227 eV/atom
- Relative energy among the computed polymorphs: 35 meV/atom
- Total magnetic moment: 0.000 μB per atom

a b c (Å): 3.545 3.545 9.178
angles (deg): 90.00 90.00 90.00
Positions (direct):
1 Tm 0.500 0.500 0.500
2 Ho 0.000 0.000 0.770
3 Ho 0.000 0.000 0.230
4 In 0.500 0.500 0.000



No. 7
## HoTmIn4 (PBE)

Data for a geometry-optimized HoTmIn4 structure.

- Energy relative to the elements: -0.361 eV/atom
- Relative energy among the computed polymorphs: 0 meV/atom
- Total magnetic moment: 0.000 μB per atom

a b c (Å): 5.002 5.000 6.963
angles (deg): 90.00 90.00 120.07
Positions (direct):
1 Ho 0.751 0.747 0.998
2 Tm 0.751 0.747 0.498
3 In 0.418 0.081 0.265
4 In 0.418 0.081 0.730
5 In 0.085 0.414 0.760
6 In 0.085 0.414 0.238



No. 8
## Ho2Tm3In (PBE)

Data for a geometry-optimized Ho2Tm3In structure.

- Energy relative to the elements: -0.162 eV/atom
- Relative energy among the computed polymorphs: 0 meV/atom
- Total magnetic moment: 0.000 μB per atom

a b c (Å): 4.827 4.811 7.808
angles (deg): 107.94 90.00 90.00
Positions (direct):
1 Ho 0.000 0.662 0.324
2 Ho 0.000 0.338 0.676
3 Tm 0.500 0.168 0.336
4 Tm 0.500 0.500 0.000
5 Tm 0.500 0.832 0.664
6 In 0.000 0.000 0.000